1.
# TmPuInAg

A relaxed structure of TmPuInAg (PBE, Alexandria via LeMat-Bulk).

Lattice parameters (Å, degrees): 5.2489 5.2489 5.2489 60.00 60.00 60.00
Site moments in Bohr magnetons follow the coordinates.
Fractional coordinates of all 4 atoms:
Tm (0.5000, 0.5000, 0.5000)  0.07
Ag (0.2500, 0.2500, 0.2500)  0.02
Pu (0.0000, 0.0000, 0.0000)  5.36
In (0.7500, 0.7500, 0.7500)  -0.03

Summary:
Energy of formation from the pure elements, kcal/mol of atoms: -3.51
Electronic total energy, eV per atom: -6.25
V, Å³ per atom: 25.564


2.
# PuZnInAg

A relaxed structure of PuZnInAg (PBE, Alexandria via LeMat-Bulk).

Lattice parameters (Å, degrees): 4.9635 4.9635 4.9635 60.00 60.00 60.00
Site moments in Bohr magnetons follow the coordinates.
Fractional coordinates of all 4 atoms:
Ag (0.2500, 0.2500, 0.2500)  0.02
Zn (0.7500, 0.7500, 0.7500)  0.03
Pu (0.0000, 0.0000, 0.0000)  5.32
In (0.5000, 0.5000, 0.5000)  -0.02

Summary:
Energy of formation from the pure elements, kcal/mol of atoms: -2.22
Electronic total energy, eV per atom: -5.40
V, Å³ per atom: 21.617


no.,spin magnetization (μB per atom)
1,1.411
2,1.397